## Cs2SnCI6 (GGA-PBE)

Data for a relaxed structure of Cs2SnCI6.

```
10
Lattice="8.256 0.000 0.000 0.000 8.256 0.000 4.128 4.128 5.823" Properties=species:S:1:pos:R:3 pbc="T T T"
Cs 8.256 4.128 2.911
Cs 4.128 8.256 2.911
I 4.128 4.128 2.717
I 8.256 8.256 3.105
I 2.205 2.205 0.000
I 6.050 6.050 0.000
I 6.050 2.205 0.000
I 2.205 6.050 0.000
C 4.128 4.128 0.000
Sn 0.000 0.000 0.000
```

Crystal system: tetragonal
DFT total energy: -2.712 eV per atom
Energy relative to the elements, uncorrected: -288.9 meV per atom
Density: 4.845 Mg/m³
Space-group type: I4/mmm

***

## Tl15SnSb4 (GGA-PBE)

Data for a relaxed structure of Tl15SnSb4.

```
20
Lattice="4.970 0.000 0.000 0.000 4.970 0.000 0.000 0.000 24.734" Properties=species:S:1:pos:R:3 pbc="T T T"
Tl 2.485 2.485 0.000
Tl 2.485 2.485 4.979
Tl 2.485 2.485 9.903
Tl 2.485 2.485 14.831
Tl 2.485 2.485 19.755
Tl 2.485 0.000 2.480
Tl 2.485 0.000 7.425
Tl 2.485 0.000 12.367
Tl 2.485 0.000 17.309
Tl 2.485 0.000 22.254
Tl 0.000 2.485 2.480
Tl 0.000 2.485 7.425
Tl 0.000 2.485 12.367
Tl 0.000 2.485 17.309
Tl 0.000 2.485 22.254
Sn 0.000 0.000 0.000
Sb 0.000 0.000 4.857
Sb 0.000 0.000 9.879
Sb 0.000 0.000 14.856
Sb 0.000 0.000 19.877
```

Crystal system: tetragonal
DFT total energy: -2.792 eV per atom
Energy relative to the elements, uncorrected: 6.9 meV per atom
Density: 9.977 Mg/m³
Space-group type: P4/mmm

***

## ZrTl2I2O2 (GGA-PBE)

Data for a relaxed structure of ZrTl2I2O2.

```
7
Lattice="-1.545 4.068 0.533 -1.445 -0.006 -4.139 -7.079 -5.681 4.802" Properties=species:S:1:pos:R:3 pbc="T T T"
Zr 0.000 0.000 0.000
Tl -6.855 -2.918 2.397
Tl -3.215 1.299 -1.202
I -2.723 -1.159 0.952
I -7.347 -0.460 0.243
O -0.723 -0.003 -2.070
O -0.773 2.034 0.267
```

Crystal system: tetragonal
DFT total energy: -5.164 eV per atom
Energy relative to the elements, uncorrected: -1407.4 meV per atom
Density: 6.934 Mg/m³
Space-group type: I4/mmm

***

## MnGaSCl2 (GGA-PBE)

Data for a relaxed structure of MnGaSCl2.

```
5
Lattice="4.754 0.000 0.000 0.000 4.754 0.000 0.000 0.000 4.829" Properties=species:S:1:pos:R:3 pbc="T T T"
S 0.000 0.000 2.414
Mn 2.377 2.377 2.414
Ga 0.000 0.000 0.000
Cl 0.000 2.377 0.000
Cl 2.377 0.000 0.000
```

Crystal system: tetragonal
DFT total energy: -4.116 eV per atom
Energy relative to the elements, uncorrected: -112.6 meV per atom
Density: 3.463 Mg/m³
Space-group type: P4/mmm

***

## Ba4PdIBr2 (GGA-PBE)

Data for a relaxed structure of Ba4PdIBr2.

```
8
Lattice="-2.452 3.861 0.688 -2.346 -2.839 7.572 6.033 2.810 5.729" Properties=species:S:1:pos:R:3 pbc="T T T"
Ba 2.618 -0.081 9.780
Ba -1.383 3.912 4.209
Ba -1.189 0.686 7.462
Ba 2.424 3.146 6.526
Pd 1.843 -0.015 6.650
I 3.634 3.321 9.859
Br 6.033 2.810 5.729
Br 1.791 3.336 3.208
```

Crystal system: monoclinic
DFT total energy: -3.476 eV per atom
Energy relative to the elements, uncorrected: -1253.4 meV per atom
Density: 4.777 Mg/m³
Space-group type: P2/m

***

## ZnHg2Ge2 (GGA-PBE)

Data for a relaxed structure of ZnHg2Ge2.

```
5
Lattice="-2.025 1.963 2.502 -0.306 -3.073 2.163 5.514 1.468 6.150" Properties=species:S:1:pos:R:3 pbc="T T T"
Zn 0.000 0.000 0.000
Ge 1.162 1.438 5.493
Ge 2.022 -1.080 5.323
Hg 0.092 -0.174 3.052
Hg 3.091 0.532 7.764
```

Crystal system: tetragonal
DFT total energy: -1.949 eV per atom
Density: 8.985 Mg/m³
Formation energy from the elements: 1.37 eV/f.u.
Space-group type: I4/mmm

***

## Ta2MoSe (GGA-PBE)

Data for a relaxed structure of Ta2MoSe.

```
4
Lattice="-2.867 0.142 0.903 1.886 -0.619 2.262 0.883 8.212 1.510" Properties=species:S:1:pos:R:3 pbc="T T T"
Mo -0.270 1.815 1.960
Se 0.172 5.921 2.715
Ta 0.883 8.208 1.510
Ta 0.442 4.111 0.756
```

Crystal system: orthorhombic
DFT total energy: -9.476 eV per atom
Energy relative to the elements, uncorrected: 29.3 meV per atom
Density: 12.683 Mg/m³
Space-group type: Cmmm

***

## Ho2PuPa3P6 (GGA-PBE)

Data for a relaxed structure of Ho2PuPa3P6.

```
12
Lattice="-2.580 -3.343 -5.451 -2.923 -0.737 6.201 -2.058 6.384 -1.488" Properties=species:S:1:pos:R:3 pbc="T T T"
Ho -2.808 -1.606 2.317
Ho -2.694 -2.474 -1.566
Pu 0.000 0.000 0.000
Pa -3.895 2.020 3.509
Pa -3.666 0.285 -4.248
Pa -3.780 1.152 -0.369
P -5.602 1.281 -2.496
P -4.649 -1.449 0.187
P -1.959 1.024 1.758
P -5.716 2.151 1.395
P -2.912 3.753 -0.925
P -1.844 0.154 -2.133
```

Crystal system: monoclinic
DFT total energy: -8.429 eV per atom
Density: 9.053 Mg/m³
Formation energy from the elements: -16.71 eV/f.u.
Space-group type: C2/m